1.
DFT (GGA-PBE) results for a relaxed structure of TcHg2P.

## Properties
For the formation energy, the calculation gives 0.2431 eV per atom. The total energy comes out at -3.85 eV/atom. As for the symmetry: Imm2. The calculated volume is 21.10 A^3/atom.

```
TcHg2P
1.0
-1.494 2.432 5.806
1.494 -2.432 5.806
1.494 2.432 -5.806
Tc Hg P
1 2 1
Direct
0.000 0.000 0.000
0.475 0.475 0.000
0.780 0.280 0.500
0.148 0.648 0.500
```

***

2.
DFT (GGA-PBE) results for a relaxed structure of Nd2Sm6DyTm3.

## Properties
For the formation energy, the calculation gives 0.0182 eV per atom. The total energy comes out at -4.64 eV/atom. As for the symmetry: C2/m. The calculated volume is 32.78 A^3/atom.

```
Nd2Sm6DyTm3
1.0
3.116 -5.397 0.000
3.116 5.397 0.000
-2.073 0.000 11.695
Nd Sm Dy Tm
2 6 1 3
Direct
0.167 0.833 0.000
0.833 0.167 0.000
0.083 0.415 0.746
0.252 0.252 0.255
0.415 0.083 0.746
0.585 0.917 0.254
0.748 0.748 0.745
0.917 0.585 0.254
0.500 0.500 0.000
0.000 0.000 0.500
0.334 0.666 0.500
0.666 0.334 0.500
```

***

3.
DFT (GGA-PBE) results for a relaxed structure of CaGe3C.

## Properties
For the formation energy, the calculation gives 2.3385 eV per atom. The total energy comes out at -2.68 eV/atom. The value obtained for the excess energy over the best structure of this formula in the dataset is 8.43 eV per formula unit. As for the symmetry: Pm-3m. The calculated volume is 32.64 A^3/atom.

```
CaGe3C
1.0
5.465 0.000 0.000
0.000 5.465 0.000
0.000 0.000 5.465
Ca Ge C
1 3 1
Direct
0.000 0.000 0.000
0.000 0.000 0.500
0.000 0.500 0.000
0.500 0.000 0.000
0.500 0.500 0.500
```